Below is a relaxed structure of Dy4Zn2Cu, with properties calculated at the PBE-GGA level.

Raw total energy ... -26.2 eV/cell
SG ... I4/mmm, No. 139
DOS(E_F) ... 1.01 states/eV per atom

abc: 6.0774 6.0774 6.0774
angles: 109.21 109.60 109.60
Last column: nearest neighbours and their distance in Å.
Element x y z (fractional)
Zn 0.5000 0.5000 0.0000  8 Dy 3.04
Zn 0.5000 0.0000 0.5000  8 Dy 3.04
Cu 0.0000 0.0000 0.0000  8 Dy 3.04
Dy 0.5000 0.0000 0.0000  4 Zn 3.04, 2 Cu 3.04
Dy 0.5000 0.5000 0.5000  4 Zn 3.04, 2 Cu 3.04
Dy 0.0000 0.0000 0.5000  2 Cu 3.04, 4 Zn 3.04
Dy 0.0000 0.5000 0.0000  2 Cu 3.04, 4 Zn 3.04